Compound: CsPuPaO6
Source: the Alexandria database
Functional: PBE
Structure: optimized geometry

Summary:
E_form (uncorrected): -277.7 kJ per mole of atoms
symmetry: Imma (74)

a = 7.9708 Å, b = 7.9708 Å, c = 7.9708 Å
α = 120.02°, β = 119.85°, γ = 90.11°
Last column: nearest neighbours and their distance in Å.
Fractional coordinates of all 18 atoms:
Cs  0.3732  0.1232  0.2500  6 O 3.45-3.55
Cs  0.6268  0.8768  0.7500  6 O 3.45-3.55
Pu  0.0000  0.0000  0.5000  6 O 2.06-2.09
Pu  0.0000  0.5000  0.0000  6 O 2.06-2.09
Pa  0.0000  0.5000  0.5000  6 O 2.15-2.19
Pa  0.5000  0.5000  0.0000  6 O 2.15-2.19
O  0.0576  0.8076  0.2500  2 Pu 2.09
O  0.0600  0.4290  0.2352  1 Pu 2.06, 1 Pa 2.19
O  0.0600  0.8248  0.6310  1 Pu 2.06, 1 Pa 2.19
O  0.3062  0.1752  0.7352  1 Pu 2.06, 1 Pa 2.19
O  0.3062  0.5710  0.1310  1 Pu 2.06, 1 Pa 2.19
O  0.3205  0.5705  0.7500  2 Pa 2.15
O  0.6795  0.4295  0.2500  2 Pa 2.15
O  0.6938  0.4290  0.8690  1 Pu 2.06, 1 Pa 2.19
O  0.6938  0.8248  0.2648  1 Pu 2.06, 1 Pa 2.19
O  0.9400  0.1752  0.3690  1 Pu 2.06, 1 Pa 2.19
O  0.9400  0.5710  0.7648  1 Pu 2.06, 1 Pa 2.19
O  0.9424  0.1924  0.7500  2 Pu 2.09

=====

Compound: RbBiSbTe3
Source: the Alexandria database
Functional: PBE
Structure: optimized geometry

Summary:
E_form (uncorrected): -36.8 kJ per mole of atoms
symmetry: P2_1/m (11)

a = 9.4009 Å, b = 4.7804 Å, c = 12.1041 Å
α = 90.00°, β = 112.50°, γ = 90.00°
Last column: nearest neighbours and their distance in Å.
Fractional coordinates of all 12 atoms:
Rb  0.2331  0.2500  0.2717  1 Sb 3.78, 7 Te 3.79-4.09
Rb  0.7669  0.7500  0.7283  1 Sb 3.78, 7 Te 3.79-4.09
Bi  0.3750  0.7500  0.8387  6 Te 3.12-3.26
Bi  0.6250  0.2500  0.1613  6 Te 3.12-3.26
Sb  0.1164  0.2500  0.5378  3 Te 2.82-3.06, 2 Sb 3.13
Sb  0.8836  0.7500  0.4622  3 Te 2.82-3.06, 2 Sb 3.13
Te  0.1200  0.2500  0.7715  1 Sb 2.82
Te  0.3309  0.7500  0.5662  2 Sb 3.06, 1 Bi 3.16
Te  0.3838  0.7500  0.0988  3 Bi 3.12-3.18
Te  0.6162  0.2500  0.9012  3 Bi 3.12-3.18
Te  0.6691  0.2500  0.4338  2 Sb 3.06, 1 Bi 3.16
Te  0.8800  0.7500  0.2285  1 Sb 2.82

=====

Compound: Ba2RePb
Source: the Alexandria database
Functional: PBE
Structure: optimized geometry

Summary:
E_form: 0.905 eV per atom
symmetry: R-3m (166)

a = 3.6481 Å, b = 3.6481 Å, c = 33.7815 Å
α = 90.00°, β = 90.00°, γ = 120.00°
Last column: nearest neighbours and their distance in Å.
Fractional coordinates of all 12 atoms:
Ba  0.0000  0.0000  0.2369  3 Re 3.17
Ba  0.0000  0.0000  0.7631  3 Re 3.17
Ba  0.3333  0.6667  0.4298  3 Re 3.17
Ba  0.3333  0.6667  0.9036  3 Re 3.17
Ba  0.6667  0.3333  0.0964  3 Re 3.17
Ba  0.6667  0.3333  0.5702  3 Re 3.17
Re  0.0000  0.0000  0.5000  6 Ba 3.17
Re  0.3333  0.6667  0.1667  6 Ba 3.17
Re  0.6667  0.3333  0.8333  6 Ba 3.17
Pb  0.0000  0.0000  0.0000  6 Pb 3.65, 6 Ba 3.88
Pb  0.3333  0.6667  0.6667  6 Pb 3.65, 6 Ba 3.88
Pb  0.6667  0.3333  0.3333  6 Pb 3.65, 6 Ba 3.88

=====

Compound: CsPb2I5
Source: the Alexandria database
Functional: PBE
Structure: optimized geometry

Summary:
distance to the lowest polymorph of the same formula: 0.013 eV per atom
E_form (uncorrected): -80.9 kJ per mole of atoms
symmetry: Immm (71)

a = 4.8862 Å, b = 8.3624 Å, c = 17.6204 Å
α = 90.00°, β = 90.00°, γ = 90.00°
Last column: nearest neighbours and their distance in Å.
Fractional coordinates of all 16 atoms:
Cs  0.0000  0.0000  0.0000  10 I 4.16-4.18
Cs  0.5000  0.5000  0.5000  10 I 4.16-4.18
Pb  0.0000  0.5000  0.1816  7 I 3.20-3.50
Pb  0.0000  0.5000  0.8184  7 I 3.20-3.50
Pb  0.5000  0.0000  0.3184  7 I 3.20-3.50
Pb  0.5000  0.0000  0.6816  7 I 3.20-3.50
I  0.0000  0.2628  0.3455  3 Pb 3.32-3.50
I  0.0000  0.2628  0.6545  3 Pb 3.32-3.50
I  0.0000  0.5000  0.0000  2 Pb 3.20
I  0.0000  0.7372  0.3455  3 Pb 3.32-3.50
I  0.0000  0.7372  0.6545  3 Pb 3.32-3.50
I  0.5000  0.0000  0.5000  2 Pb 3.20
I  0.5000  0.2372  0.1545  3 Pb 3.32-3.50
I  0.5000  0.2372  0.8455  3 Pb 3.32-3.50
I  0.5000  0.7628  0.1545  3 Pb 3.32-3.50
I  0.5000  0.7628  0.8455  3 Pb 3.32-3.50

=====

Compound: LiPrBeAl
Source: the Alexandria database
Functional: PBE
Structure: optimized geometry

Summary:
E_form: -0.108 eV per atom
symmetry: F-43m (216)

a = 6.6120 Å, b = 6.6120 Å, c = 6.6120 Å
α = 90.00°, β = 90.00°, γ = 90.00°
Last column: nearest neighbours and their distance in Å.
Fractional coordinates of all 16 atoms:
Li  0.0000  0.0000  0.0000  4 Pr 2.86, 4 Al 2.86
Li  0.0000  0.5000  0.5000  4 Pr 2.86, 4 Al 2.86
Li  0.5000  0.0000  0.5000  4 Pr 2.86, 4 Al 2.86
Li  0.5000  0.5000  0.0000  4 Pr 2.86, 4 Al 2.86
Pr  0.2500  0.2500  0.7500  4 Li 2.86, 4 Be 2.86
Pr  0.2500  0.7500  0.2500  4 Li 2.86, 4 Be 2.86
Pr  0.7500  0.2500  0.2500  4 Li 2.86, 4 Be 2.86
Pr  0.7500  0.7500  0.7500  4 Li 2.86, 4 Be 2.86
Be  0.0000  0.0000  0.5000  4 Pr 2.86, 4 Al 2.86
Be  0.0000  0.5000  0.0000  4 Pr 2.86, 4 Al 2.86
Be  0.5000  0.0000  0.0000  4 Pr 2.86, 4 Al 2.86
Be  0.5000  0.5000  0.5000  4 Pr 2.86, 4 Al 2.86
Al  0.2500  0.2500  0.2500  4 Li 2.86, 4 Be 2.86
Al  0.2500  0.7500  0.7500  4 Li 2.86, 4 Be 2.86
Al  0.7500  0.2500  0.7500  4 Li 2.86, 4 Be 2.86
Al  0.7500  0.7500  0.2500  4 Li 2.86, 4 Be 2.86

=====

Compound: EuTm2Pd
Source: the Alexandria database
Functional: PBE
Structure: optimized geometry

Summary:
distance to the lowest polymorph of the same formula: 0.089 eV per atom
E_form: -0.313 eV per atom
symmetry: R-3m (166)

a = 3.9892 Å, b = 3.9892 Å, c = 27.9330 Å
α = 90.00°, β = 90.00°, γ = 120.00°
Last column: nearest neighbours and their distance in Å.
Fractional coordinates of all 12 atoms:
Eu  0.0000  0.0000  0.0000  6 Tm 3.87, 6 Eu 3.99
Eu  0.3333  0.6667  0.6667  6 Tm 3.87, 6 Eu 3.99
Eu  0.6667  0.3333  0.3333  6 Tm 3.87, 6 Eu 3.99
Tm  0.0000  0.0000  0.2219  3 Pd 2.77
Tm  0.0000  0.0000  0.7781  3 Pd 2.77
Tm  0.3333  0.6667  0.4447  3 Pd 2.77
Tm  0.3333  0.6667  0.8886  3 Pd 2.77
Tm  0.6667  0.3333  0.1114  3 Pd 2.77
Tm  0.6667  0.3333  0.5553  3 Pd 2.77
Pd  0.0000  0.0000  0.5000  6 Tm 2.77
Pd  0.3333  0.6667  0.1667  6 Tm 2.77
Pd  0.6667  0.3333  0.8333  6 Tm 2.77

=====

Compound: Sr2B10Os
Source: the Alexandria database
Functional: PBE
Structure: optimized geometry

Summary:
E_form: -0.285 eV per atom
symmetry: Pbam (55)

a = 5.8225 Å, b = 11.6468 Å, c = 4.2705 Å
α = 90.00°, β = 90.00°, γ = 90.00°
Last column: nearest neighbours and their distance in Å.
Fractional coordinates of all 26 atoms:
Sr  0.2032  0.1370  0.0000  20 B 2.98-3.12, 2 Os 3.18
Sr  0.2968  0.6370  0.0000  20 B 2.98-3.12, 2 Os 3.18
Sr  0.7032  0.3630  0.0000  20 B 2.98-3.12, 2 Os 3.18
Sr  0.7968  0.8630  0.0000  20 B 2.98-3.12, 2 Os 3.18
B  0.0520  0.3088  0.5000  4 B 1.73-1.81
B  0.1212  0.9564  0.5000  4 B 1.74-1.82
B  0.1431  0.8032  0.5000  5 B 1.73-1.79
B  0.2142  0.3828  0.2000  4 B 1.71-1.82
B  0.2142  0.3828  0.8000  4 B 1.71-1.82
B  0.2858  0.8828  0.2000  4 B 1.71-1.82
B  0.2858  0.8828  0.8000  4 B 1.71-1.82
B  0.3569  0.3032  0.5000  5 B 1.73-1.79
B  0.3788  0.4564  0.5000  4 B 1.74-1.82
B  0.4480  0.8088  0.5000  4 B 1.73-1.81
B  0.5520  0.1912  0.5000  4 B 1.73-1.81
B  0.6212  0.5436  0.5000  4 B 1.74-1.82
B  0.6431  0.6968  0.5000  5 B 1.73-1.79
B  0.7142  0.1172  0.2000  4 B 1.71-1.82
B  0.7142  0.1172  0.8000  4 B 1.71-1.82
B  0.7858  0.6172  0.2000  4 B 1.71-1.82
B  0.7858  0.6172  0.8000  4 B 1.71-1.82
B  0.8569  0.1968  0.5000  5 B 1.73-1.79
B  0.8788  0.0436  0.5000  4 B 1.74-1.82
B  0.9480  0.6912  0.5000  4 B 1.73-1.81
Os  0.0000  0.5000  0.5000  8 B 2.25-2.26
Os  0.5000  0.0000  0.5000  8 B 2.25-2.26

=====

Compound: K2ZrAg
Source: the Alexandria database
Functional: PBE
Structure: optimized geometry

Summary:
distance to the lowest polymorph of the same formula: 0.000 eV per atom
E_form: 0.394 eV per atom
symmetry: Pm (6)

a = 3.5863 Å, b = 3.6100 Å, c = 11.2862 Å
α = 90.00°, β = 90.52°, γ = 90.00°
Last column: nearest neighbours and their distance in Å.
Fractional coordinates of all 4 atoms:
K  0.0000  0.0000  0.0000  4 Ag 3.57, 4 K 3.59-3.61, 1 Zr 3.86
K  0.4822  0.5000  0.3797  4 K 3.59-3.61
Zr  0.9907  0.0000  0.6576  4 Ag 2.89
Ag  0.4943  0.5000  0.7783  4 Zr 2.89

=====

Please write out number 5 again, unchanged.
Compound: LiPrBeAl
Source: the Alexandria database
Functional: PBE
Structure: optimized geometry

Summary:
E_form: -0.108 eV per atom
symmetry: F-43m (216)

a = 6.6120 Å, b = 6.6120 Å, c = 6.6120 Å
α = 90.00°, β = 90.00°, γ = 90.00°
Last column: nearest neighbours and their distance in Å.
Fractional coordinates of all 16 atoms:
Li  0.0000  0.0000  0.0000  4 Pr 2.86, 4 Al 2.86
Li  0.0000  0.5000  0.5000  4 Pr 2.86, 4 Al 2.86
Li  0.5000  0.0000  0.5000  4 Pr 2.86, 4 Al 2.86
Li  0.5000  0.5000  0.0000  4 Pr 2.86, 4 Al 2.86
Pr  0.2500  0.2500  0.7500  4 Li 2.86, 4 Be 2.86
Pr  0.2500  0.7500  0.2500  4 Li 2.86, 4 Be 2.86
Pr  0.7500  0.2500  0.2500  4 Li 2.86, 4 Be 2.86
Pr  0.7500  0.7500  0.7500  4 Li 2.86, 4 Be 2.86
Be  0.0000  0.0000  0.5000  4 Pr 2.86, 4 Al 2.86
Be  0.0000  0.5000  0.0000  4 Pr 2.86, 4 Al 2.86
Be  0.5000  0.0000  0.0000  4 Pr 2.86, 4 Al 2.86
Be  0.5000  0.5000  0.5000  4 Pr 2.86, 4 Al 2.86
Al  0.2500  0.2500  0.2500  4 Li 2.86, 4 Be 2.86
Al  0.2500  0.7500  0.7500  4 Li 2.86, 4 Be 2.86
Al  0.7500  0.2500  0.7500  4 Li 2.86, 4 Be 2.86
Al  0.7500  0.7500  0.2500  4 Li 2.86, 4 Be 2.86

=====

Repeat the third record exactly.
Compound: Ba2RePb
Source: the Alexandria database
Functional: PBE
Structure: optimized geometry

Summary:
E_form: 0.905 eV per atom
symmetry: R-3m (166)

a = 3.6481 Å, b = 3.6481 Å, c = 33.7815 Å
α = 90.00°, β = 90.00°, γ = 120.00°
Last column: nearest neighbours and their distance in Å.
Fractional coordinates of all 12 atoms:
Ba  0.0000  0.0000  0.2369  3 Re 3.17
Ba  0.0000  0.0000  0.7631  3 Re 3.17
Ba  0.3333  0.6667  0.4298  3 Re 3.17
Ba  0.3333  0.6667  0.9036  3 Re 3.17
Ba  0.6667  0.3333  0.0964  3 Re 3.17
Ba  0.6667  0.3333  0.5702  3 Re 3.17
Re  0.0000  0.0000  0.5000  6 Ba 3.17
Re  0.3333  0.6667  0.1667  6 Ba 3.17
Re  0.6667  0.3333  0.8333  6 Ba 3.17
Pb  0.0000  0.0000  0.0000  6 Pb 3.65, 6 Ba 3.88
Pb  0.3333  0.6667  0.6667  6 Pb 3.65, 6 Ba 3.88
Pb  0.6667  0.3333  0.3333  6 Pb 3.65, 6 Ba 3.88

=====

Number 3 is which compound? Ba2RePb